Entry A
First-principles (GGA-PBE) data for a geometry-optimized SmDy2Ga6 structure, as listed in the Alexandria database.

Unit cell a=7.3120 b=7.3120 c=4.1551 alpha=90.00 beta=90.00 gamma=120.00
Space group P6/mmm (No. 191)
Inequivalent atoms, fractional coordinates:
Sm  0.0000  0.0000  0.0000 x1
Dy  0.3333  0.6667  0.0000 x2
Ga  0.0000  0.3341  0.5000 x6

***

Entry B
First-principles (GGA-PBE) data for a geometry-optimized SmDy2Ga6 structure, as listed in the Alexandria database.

Unit cell a=4.3304 b=7.0640 c=13.2612 alpha=90.00 beta=90.00 gamma=90.00
Space group Immm (No. 71)
Inequivalent atoms, fractional coordinates:
Sm  0.0000  0.0000  0.0000 x2
Dy  0.0000  0.5000  0.1265 x4
Ga  0.0000  0.1854  0.5000 x4
Ga  0.0000  0.3066  0.3159 x8

***

Most stable one: entry A, least stable one: entry B.

***

Entry A
First-principles (GGA-PBE) data for a geometry-optimized SmDy2Ga3 structure, as listed in the Alexandria database.

Unit cell a=10.5883 b=6.0666 c=4.8195 alpha=90.00 beta=90.08 gamma=90.00
Space group C2/m (No. 12)
Inequivalent atoms, fractional coordinates:
Sm  0.0000  0.0000  0.0000 x2
Dy  0.1661  0.5000  0.0000 x4
Ga  0.0000  0.5000  0.5000 x2
Ga  0.2500  0.2500  0.5000 x4

***

Entry B
First-principles (GGA-PBE) data for a geometry-optimized SmDy2Ga3 structure, as listed in the Alexandria database.

Unit cell a=5.0803 b=5.0803 c=12.4920 alpha=90.00 beta=90.00 gamma=120.00
Space group P-3m1 (No. 164)
Inequivalent atoms, fractional coordinates:
Sm  0.3333  0.6667  0.1667 x2
Dy  0.0000  0.0000  0.0000 x1
Dy  0.0000  0.0000  0.5000 x1
Dy  0.3333  0.6667  0.6646 x2
Ga  0.0000  0.0000  0.2525 x2
Ga  0.3333  0.6667  0.4182 x2
Ga  0.3333  0.6667  0.9155 x2

***

Most stable one: entry B, least stable one: entry A.

***

Entry A
First-principles (GGA-PBE) data for a geometry-optimized Sm2DyGa2 structure, as listed in the Alexandria database.

Unit cell a=5.4687 b=15.1858 c=6.2940 alpha=90.00 beta=90.00 gamma=90.00
Space group Cmc2_1 (No. 36)
Inequivalent atoms, fractional coordinates:
Sm  0.0000  0.0459  0.0000 x4
Sm  0.0000  0.2045  0.5640 x4
Dy  0.0000  0.4109  0.8210 x4
Ga  0.0000  0.2312  0.0930 x4
Ga  0.0000  0.3917  0.3025 x4

***

Entry B
First-principles (GGA-PBE) data for a geometry-optimized Sm2DyGa2 structure, as listed in the Alexandria database.

Unit cell a=7.6949 b=7.6949 c=4.4722 alpha=90.00 beta=90.00 gamma=90.00
Space group P4/mbm (No. 127)
Inequivalent atoms, fractional coordinates:
Sm  0.1745  0.3255  0.0000 x4
Dy  0.0000  0.0000  0.5000 x2
Ga  0.1194  0.6194  0.5000 x4

***

Most stable one: entry B, least stable one: entry A.

***

Entry A
First-principles (GGA-PBE) data for a geometry-optimized Sm2DyGa structure, as listed in the Alexandria database.

Unit cell a=4.7694 b=4.7694 c=4.8049 alpha=90.00 beta=90.00 gamma=90.00
Space group P4/mmm (No. 123)
Inequivalent atoms, fractional coordinates:
Sm  0.0000  0.5000  0.0000 x2
Dy  0.0000  0.0000  0.5000 x1
Ga  0.5000  0.5000  0.5000 x1

***

Entry B
First-principles (GGA-PBE) data for a geometry-optimized Sm2DyGa structure, as listed in the Alexandria database.

Unit cell a=3.6755 b=3.6755 c=31.0024 alpha=90.00 beta=90.00 gamma=120.00
Space group R3m (No. 160, hexagonal axes)
Inequivalent atoms, fractional coordinates:
Sm  0.0000  0.0000  0.0000 x3
Sm  0.0000  0.0000  0.1904 x3
Dy  0.0000  0.0000  0.4288 x3
Ga  0.0000  0.0000  0.5948 x3

***

Entry C
First-principles (GGA-PBE) data for a geometry-optimized Sm2DyGa structure, as listed in the Alexandria database.

Unit cell a=7.6196 b=7.6196 c=7.6196 alpha=90.00 beta=90.00 gamma=90.00
Space group Fm-3m (No. 225)
Inequivalent atoms, fractional coordinates:
Sm  0.2500  0.2500  0.2500 x8
Dy  0.0000  0.0000  0.0000 x4
Ga  0.0000  0.0000  0.5000 x4

***

Most stable one: entry A, least stable one: entry C.

***

Entry A
First-principles (GGA-PBE) data for a geometry-optimized Sm2DyGa structure, as listed in the Alexandria database.

Unit cell a=3.5719 b=3.5719 c=9.0036 alpha=90.00 beta=90.00 gamma=90.00
Space group P4/mmm (No. 123)
Inequivalent atoms, fractional coordinates:
Sm  0.0000  0.0000  0.2116 x2
Dy  0.5000  0.5000  0.5000 x1
Ga  0.5000  0.5000  0.0000 x1

***

Entry B
First-principles (GGA-PBE) data for a geometry-optimized Sm2DyGa structure, as listed in the Alexandria database.

Unit cell a=3.6658 b=12.8186 c=9.8685 alpha=90.00 beta=90.00 gamma=90.00
Space group Cmcm (No. 63)
Inequivalent atoms, fractional coordinates:
Sm  0.0000  0.1353  0.0470 x8
Dy  0.0000  0.4451  0.2500 x4
Ga  0.0000  0.2438  0.7500 x4

***

Most stable one: entry B, least stable one: entry A.

***

Entry A
First-principles (GGA-PBE) data for a geometry-optimized SmDyGa4 structure, as listed in the Alexandria database.

Unit cell a=7.8463 b=7.8463 c=7.8463 alpha=90.00 beta=90.00 gamma=90.00
Space group F-43m (No. 216)
Inequivalent atoms, fractional coordinates:
Sm  0.0000  0.0000  0.0000 x4
Dy  0.2500  0.2500  0.7500 x4
Ga  0.1249  0.1249  0.3751 x16

***

Entry B
First-principles (GGA-PBE) data for a geometry-optimized SmDyGa4 structure, as listed in the Alexandria database.

Unit cell a=4.2328 b=4.2328 c=8.3258 alpha=90.00 beta=90.00 gamma=120.00
Space group P6/mmm (No. 191)
Inequivalent atoms, fractional coordinates:
Sm  0.0000  0.0000  0.0000 x1
Dy  0.0000  0.0000  0.5000 x1
Ga  0.3333  0.6667  0.2549 x4

***

Most stable one: entry B, least stable one: entry A.

***

Entry A
First-principles (GGA-PBE) data for a geometry-optimized SmDy2Ga structure, as listed in the Alexandria database.

Unit cell a=4.2600 b=12.0140 c=9.0484 alpha=90.00 beta=90.00 gamma=90.00
Space group Cmcm (No. 63)
Inequivalent atoms, fractional coordinates:
Sm  0.0000  0.0594  0.2500 x4
Dy  0.0000  0.3553  0.0561 x8
Ga  0.0000  0.2524  0.7500 x4

***

Entry B
First-principles (GGA-PBE) data for a geometry-optimized SmDy2Ga structure, as listed in the Alexandria database.

Unit cell a=3.4978 b=3.4978 c=34.0023 alpha=90.00 beta=90.00 gamma=120.00
Space group R-3m (No. 166, hexagonal axes)
Inequivalent atoms, fractional coordinates:
Sm  0.0000  0.0000  0.0000 x3
Dy  0.0000  0.0000  0.1028 x6
Ga  0.0000  0.0000  0.5000 x3

***

Entry C
First-principles (GGA-PBE) data for a geometry-optimized SmDy2Ga structure, as listed in the Alexandria database.

Unit cell a=4.7609 b=4.7609 c=4.7298 alpha=90.00 beta=90.00 gamma=90.00
Space group P4/mmm (No. 123)
Inequivalent atoms, fractional coordinates:
Sm  0.0000  0.0000  0.0000 x1
Dy  0.0000  0.5000  0.5000 x2
Ga  0.5000  0.5000  0.0000 x1

***

Most stable one: entry A, least stable one: entry B.

***

Entry A
First-principles (GGA-PBE) data for a geometry-optimized Sm2DyGa6 structure, as listed in the Alexandria database.

Unit cell a=7.3368 b=7.3368 c=4.1964 alpha=90.00 beta=90.00 gamma=120.00
Space group P6/mmm (No. 191)
Inequivalent atoms, fractional coordinates:
Sm  0.3333  0.6667  0.0000 x2
Dy  0.0000  0.0000  0.0000 x1
Ga  0.0000  0.3325  0.5000 x6

***

Entry B
First-principles (GGA-PBE) data for a geometry-optimized Sm2DyGa6 structure, as listed in the Alexandria database.

Unit cell a=4.3614 b=7.0606 c=13.4949 alpha=90.00 beta=90.00 gamma=90.00
Space group Immm (No. 71)
Inequivalent atoms, fractional coordinates:
Sm  0.0000  0.0000  0.1280 x4
Dy  0.0000  0.5000  0.0000 x2
Ga  0.0000  0.1894  0.3195 x8
Ga  0.0000  0.3087  0.5000 x4

***

Most stable one: entry A, least stable one: entry B.

***

Entry A
First-principles (GGA-PBE) data for a geometry-optimized SmDyTlGa structure, as listed in the Alexandria database.

Unit cell a=3.6456 b=3.6456 c=7.7573 alpha=90.00 beta=90.00 gamma=90.00
Space group P4mm (No. 99)
Inequivalent atoms, fractional coordinates:
Sm  0.0000  0.0000  0.0000 x1
Dy  0.0000  0.0000  0.4651 x1
Tl  0.5000  0.5000  0.7253 x1
Ga  0.5000  0.5000  0.2388 x1

***

Entry B
First-principles (GGA-PBE) data for a geometry-optimized SmDyTlGa structure, as listed in the Alexandria database.

Unit cell a=7.4589 b=7.4589 c=7.4589 alpha=90.00 beta=90.00 gamma=90.00
Space group F-43m (No. 216)
Inequivalent atoms, fractional coordinates:
Sm  0.0000  0.0000  0.0000 x4
Dy  0.0000  0.0000  0.5000 x4
Tl  0.2500  0.2500  0.2500 x4
Ga  0.2500  0.2500  0.7500 x4

***

Most stable one: entry A, least stable one: entry B.

***

Entry A
First-principles (GGA-PBE) data for a geometry-optimized DyTmGaSn structure, as listed in the Alexandria database.

Unit cell a=7.3321 b=7.3321 c=7.3321 alpha=90.00 beta=90.00 gamma=90.00
Space group F-43m (No. 216)
Inequivalent atoms, fractional coordinates:
Dy  0.0000  0.0000  0.0000 x4
Tm  0.0000  0.0000  0.5000 x4
Ga  0.2500  0.2500  0.7500 x4
Sn  0.2500  0.2500  0.2500 x4

***

Entry B
First-principles (GGA-PBE) data for a geometry-optimized DyTmGaSn structure, as listed in the Alexandria database.

Unit cell a=4.1354 b=4.4295 c=11.0628 alpha=90.00 beta=90.00 gamma=90.00
Space group Amm2 (No. 38)
Inequivalent atoms, fractional coordinates:
Dy  0.0000  0.0000  0.0000 x2
Tm  0.5000  0.0000  0.2783 x2
Ga  0.5000  0.0000  0.5474 x2
Sn  0.0000  0.0000  0.7172 x2

***

Most stable one: entry B, least stable one: entry A.

***

Entry A
First-principles (GGA-PBE) data for a geometry-optimized SrDyGa4 structure, as listed in the Alexandria database.

Unit cell a=7.9851 b=7.9851 c=7.9851 alpha=90.00 beta=90.00 gamma=90.00
Space group F-43m (No. 216)
Inequivalent atoms, fractional coordinates:
Sr  0.0000  0.0000  0.0000 x4
Dy  0.2500  0.2500  0.7500 x4
Ga  0.1245  0.1245  0.3755 x16

***

Entry B
First-principles (GGA-PBE) data for a geometry-optimized SrDyGa4 structure, as listed in the Alexandria database.

Unit cell a=4.2804 b=4.2804 c=15.1749 alpha=90.00 beta=90.00 gamma=90.00
Space group I-4m2 (No. 119)
Inequivalent atoms, fractional coordinates:
Sr  0.0000  0.0000  0.0000 x2
Dy  0.0000  0.5000  0.2500 x2
Ga  0.0000  0.0000  0.4141 x4
Ga  0.0000  0.5000  0.6698 x4

***

Most stable one: entry B, least stable one: entry A.

***

Entry A
First-principles (GGA-PBE) data for a geometry-optimized TbDy2Ga6 structure, as listed in the Alexandria database.

Unit cell a=4.3098 b=6.9937 c=13.3236 alpha=90.00 beta=90.00 gamma=90.00
Space group Immm (No. 71)
Inequivalent atoms, fractional coordinates:
Tb  0.0000  0.0000  0.0000 x2
Dy  0.0000  0.5000  0.1260 x4
Ga  0.0000  0.1889  0.5000 x4
Ga  0.0000  0.3075  0.3159 x8

***

Entry B
First-principles (GGA-PBE) data for a geometry-optimized TbDy2Ga6 structure, as listed in the Alexandria database.

Unit cell a=7.4564 b=7.4564 c=3.8638 alpha=90.00 beta=90.00 gamma=120.00
Space group P6/mmm (No. 191)
Inequivalent atoms, fractional coordinates:
Tb  0.0000  0.0000  0.0000 x1
Dy  0.3333  0.6667  0.0000 x2
Ga  0.0000  0.3335  0.5000 x6

***

Most stable one: entry B, least stable one: entry A.